(1)
# Er8IrRu2 PBE optimized geometry
data_Er8IrRu2
_chemical_formula_sum 'Er16 Ir2 Ru4'
_cell_length_a 8.248
_cell_length_b 12.500
_cell_length_c 5.846
_cell_angle_alpha 90.00
_cell_angle_beta 109.68
_cell_angle_gamma 90.00
_symmetry_space_group_name_H-M 'C 1 m 1'
_symmetry_Int_Tables_number 8
_symmetry_space_group_name_Hall 'C -2y'
loop_
_atom_site_label
_atom_site_type_symbol
_atom_site_fract_x
_atom_site_fract_y
_atom_site_fract_z
Er1 Er 0.000 0.000 0.000
Er2 Er 0.062 0.371 0.789
Er3 Er 0.148 0.130 0.598
Er4 Er 0.219 0.500 0.377
Er5 Er 0.360 0.213 0.187
Ir1 Ir 0.363 0.000 0.033
Ru1 Ru 0.354 0.311 0.691
# Relative energy among the computed polymorphs, kJ/mol of atoms: 5.2
# Density of states at the Fermi level, states/eV per cell: 19.39
# Magnetization, μB/cell: 0.00
# Calculated volume, Å³ per cell: 567.4


(2)
# Ac2Ga2Sn PBE optimized geometry
data_Ac2Ga2Sn
_chemical_formula_sum 'Ac8 Ga8 Sn4'
_cell_length_a 12.289
_cell_length_b 4.711
_cell_length_c 11.257
_cell_angle_alpha 90.00
_cell_angle_beta 115.63
_cell_angle_gamma 90.00
_symmetry_space_group_name_H-M 'C 1 2/m 1'
_symmetry_Int_Tables_number 12
_symmetry_space_group_name_Hall '-C 2y'
loop_
_atom_site_label
_atom_site_type_symbol
_atom_site_fract_x
_atom_site_fract_y
_atom_site_fract_z
Ac1 Ac 0.011 0.000 0.173
Ac2 Ac 0.185 0.000 0.602
Ga1 Ga 0.031 0.500 0.397
Ga2 Ga 0.149 0.500 0.065
Sn1 Sn 0.201 0.500 0.836
# Density of states at the Fermi level, states/eV per cell: 10.77
# Magnetization, μB/cell: 0.00
# VASP energy, eV per atom: -4.212
# Calculated volume, Å³ per cell: 587.6


(3)
# NaHfGaPd2 PBE optimized geometry
data_NaHfGaPd2
_chemical_formula_sum 'Na1 Hf1 Ga1 Pd2'
_cell_length_a 4.973
_cell_length_b 4.973
_cell_length_c 5.324
_cell_angle_alpha 90.00
_cell_angle_beta 90.00
_cell_angle_gamma 90.00
_symmetry_space_group_name_H-M 'P 4/m m m'
_symmetry_Int_Tables_number 123
_symmetry_space_group_name_Hall '-P 4 2'
loop_
_atom_site_label
_atom_site_type_symbol
_atom_site_fract_x
_atom_site_fract_y
_atom_site_fract_z
Na1 Na 0.000 0.000 0.000
Hf1 Hf 0.500 0.500 0.500
Ga1 Ga 0.500 0.500 0.000
Pd1 Pd 0.000 0.500 0.500
# Density of states at the Fermi level, states/eV per cell: 4.31
# Magnetization, μB/cell: 0.00
# VASP energy, eV per atom: -4.598
# Calculated volume, Å³ per cell: 131.7


(4)
# Mo2SeI2 PBE optimized geometry
data_Mo2SeI2
_chemical_formula_sum 'Mo4 Se2 I4'
_cell_length_a 5.647
_cell_length_b 5.647
_cell_length_c 7.614
_cell_angle_alpha 90.00
_cell_angle_beta 90.00
_cell_angle_gamma 90.00
_symmetry_space_group_name_H-M 'I 4/m m m'
_symmetry_Int_Tables_number 139
_symmetry_space_group_name_Hall '-I 4 2'
loop_
_atom_site_label
_atom_site_type_symbol
_atom_site_fract_x
_atom_site_fract_y
_atom_site_fract_z
Mo1 Mo 0.000 0.000 0.142
Se1 Se 0.000 0.000 0.500
I1 I 0.000 0.500 0.250
# Relative energy among the computed polymorphs, kJ/mol of atoms: 0.0
# Density of states at the Fermi level, states/eV per cell: 8.40
# Magnetization, μB/cell: 0.00
# Calculated volume, Å³ per cell: 242.8


(5)
# CuPd3Br8 PBE optimized geometry
data_CuPd3Br8
_chemical_formula_sum 'Cu2 Pd6 Br16'
_cell_length_a 13.270
_cell_length_b 7.801
_cell_length_c 8.229
_cell_angle_alpha 90.00
_cell_angle_beta 124.74
_cell_angle_gamma 90.00
_symmetry_space_group_name_H-M 'C 1 2/m 1'
_symmetry_Int_Tables_number 12
_symmetry_space_group_name_Hall '-C 2y'
loop_
_atom_site_label
_atom_site_type_symbol
_atom_site_fract_x
_atom_site_fract_y
_atom_site_fract_z
Cu1 Cu 0.000 0.000 0.000
Pd1 Pd 0.000 0.500 0.000
Pd2 Pd 0.250 0.250 0.000
Br1 Br 0.009 0.260 0.785
Br2 Br 0.231 0.000 0.204
Br3 Br 0.247 0.500 0.221
# Density of states at the Fermi level, states/eV per cell: 23.13
# Magnetization, μB/cell: 11.90
# VASP energy, eV per atom: -2.947
# Calculated volume, Å³ per cell: 700.0


(6)
# YTiBi3 PBE optimized geometry
data_YTiBi3
_chemical_formula_sum 'Y4 Ti4 Bi12'
_cell_length_a 13.213
_cell_length_b 6.592
_cell_length_c 6.340
_cell_angle_alpha 90.00
_cell_angle_beta 90.00
_cell_angle_gamma 90.00
_symmetry_space_group_name_H-M 'P b c m'
_symmetry_Int_Tables_number 57
_symmetry_space_group_name_Hall '-P 2c 2b'
loop_
_atom_site_label
_atom_site_type_symbol
_atom_site_fract_x
_atom_site_fract_y
_atom_site_fract_z
Y1 Y 0.187 0.009 0.250
Ti1 Ti 0.403 0.750 0.000
Bi1 Bi 0.003 0.750 0.000
Bi2 Bi 0.262 0.507 0.250
Bi3 Bi 0.429 0.107 0.250
# Relative energy among the computed polymorphs, kJ/mol of atoms: 0.0
# Density of states at the Fermi level, states/eV per cell: 11.53
# Magnetization, μB/cell: 0.00
# Calculated volume, Å³ per cell: 552.1